# MnHg2TeO6, optimized geometry, DFT PBE with a Hubbard U
data_MnHg2TeO6
_symmetry_space_group_name_H-M 'R -3'
_symmetry_Int_Tables_number 148
_symmetry_space_group_name_Hall '-R 3'
_cell_length_a 5.6482
_cell_length_b 5.6482
_cell_length_c 14.1569
_cell_angle_alpha 90.00
_cell_angle_beta 90.00
_cell_angle_gamma 120.00
loop_
_atom_site_label
_atom_site_fract_x
_atom_site_fract_y
_atom_site_fract_z
Mn1 0.0000 0.0000 0.0000
Hg1 0.0000 0.0000 0.2496
Te1 0.0000 0.0000 0.5000
O1 0.0244 0.4113 0.2469
# - Final energy: -4.962 eV/atom
# - V: 391 Å³ per cell
# - Magnetization: 4.989 μB/f.u.